Ti2SbSe | GGA-PBE | relaxed Values from VASP.

```
&SYSTEM
  ibrav = 0, nat = 4, ntyp = 3
/
ATOMIC_SPECIES
Sb 121.76 Sb.upf
Se 78.96 Se.upf
Ti 47.87 Ti.upf
CELL_PARAMETERS angstrom
3.7747 0.0000 0.0000
1.8874 3.2690 0.0000
1.8874 1.0897 6.3867
ATOMIC_POSITIONS crystal
Sb 0.5000 0.5000 0.5000
Se 0.0000 0.0000 0.0000
Ti 0.2657 0.2657 0.2029
Ti 0.7343 0.7343 0.7971
```

ΔE to the lowest computed polymorph	0.132	eV/atom
density of states at the Fermi level	3.10	states/eV per cell
calculated volume	19.70	Å³ per atom
symmetry	R-3m (166)
formation energy from raw total energies	-0.63	eV/atom
total energy	-6.484	eV per atom